1.
## Zn2ReOs (PBEsol)

Data for a relaxed structure of Zn2ReOs.

Cell lengths 2.7995, 3.6778, 5.4490 Å; angles 90.00, 90.00, 90.00 degrees
Closest atoms and distances in Å follow each position.
Fractional coordinates of all 4 atoms:
Zn: 0.0000 0.0000 0.0000  6 Zn 2.60-2.80, 2 Os 2.71-2.74, 4 Re 2.79
Zn: 0.5000 0.5000 0.2185  6 Zn 2.60-2.80, 2 Re 2.70-2.75, 4 Os 2.78
Re: 0.5000 0.5000 0.7141  4 Os 2.58, 6 Zn 2.70-2.79, 2 Re 2.80
Os: 0.0000 0.0000 0.5022  4 Re 2.58, 6 Zn 2.71-2.78, 2 Os 2.80

space-group type = Pmm2, No. 25
distance to the lowest polymorph of the same formula = 113 meV per atom
ΔE_f = 0.139 eV/atom
size of the total moment = 0.0 Bohr magnetons per cell
VASP energy = -7.0392 eV per atom



2.
## ZnRe2Os (PBEsol)

Data for a relaxed structure of ZnRe2Os.

Cell lengths 4.7776, 4.7776, 4.6201 Å; angles 100.06, 100.06, 33.32 degrees
Closest atoms and distances in Å follow each position.
Fractional coordinates of all 4 atoms:
Zn: 0.0000 0.0000 0.0000  4 Os 2.69, 6 Re 2.70-2.80, 2 Zn 2.74
Re: 0.2420 0.2420 0.7432  6 Re 2.66-2.74, 3 Os 2.67-2.79, 3 Zn 2.70-2.80
Re: 0.7580 0.7580 0.2568  6 Re 2.66-2.74, 3 Os 2.67-2.79, 3 Zn 2.70-2.80
Os: 0.5000 0.5000 0.5000  6 Re 2.67-2.79, 4 Zn 2.69, 2 Os 2.74

space-group type = C2/m, No. 12
ΔE_f = 0.248 eV/atom
size of the total moment = 0.0 Bohr magnetons per cell
VASP energy = -9.8673 eV per atom



3.
## Zn2ReOs (PBEsol)

Data for a relaxed structure of Zn2ReOs.

Cell lengths 4.4203, 4.4203, 4.4203 Å; angles 125.57, 125.57, 80.60 degrees
Closest atoms and distances in Å follow each position.
Fractional coordinates of all 4 atoms:
Zn: 0.0000 0.0000 0.0000  4 Os 2.63, 4 Zn 2.63, 4 Re 2.86
Zn: 0.7500 0.2500 0.5000  4 Re 2.63, 4 Zn 2.63, 4 Os 2.86
Re: 0.5000 0.5000 0.0000  4 Os 2.63, 8 Zn 2.63-2.86
Os: 0.2500 0.7500 0.5000  4 Re 2.63, 8 Zn 2.63-2.86

space-group type = I-4m2, No. 119
distance to the lowest polymorph of the same formula = 206 meV per atom
ΔE_f = 0.232 eV/atom
size of the total moment = 0.0 Bohr magnetons per cell
VASP energy = -6.9463 eV per atom



4.
## Zn2ReOs (PBEsol)

Data for a relaxed structure of Zn2ReOs.

Cell lengths 4.6338, 4.6338, 4.6644 Å; angles 100.49, 100.49, 34.48 degrees
Closest atoms and distances in Å follow each position.
Fractional coordinates of all 4 atoms:
Zn: 0.2486 0.2486 0.2481  3 Os 2.66-2.70, 3 Re 2.68-2.69, 6 Zn 2.70-2.75
Zn: 0.7514 0.7514 0.7519  3 Os 2.66-2.70, 3 Re 2.68-2.69, 6 Zn 2.70-2.75
Re: 0.0000 0.0000 0.5000  6 Zn 2.68-2.69, 4 Os 2.71, 2 Re 2.75
Os: 0.5000 0.5000 0.0000  6 Zn 2.66-2.70, 4 Re 2.71, 2 Os 2.75

space-group type = C2/m, No. 12
distance to the lowest polymorph of the same formula = 227 meV per atom
ΔE_f = 0.252 eV/atom
size of the total moment = 0.0 Bohr magnetons per cell
VASP energy = -6.9258 eV per atom



5.
## Zn2ReOs (PBEsol)

Data for a relaxed structure of Zn2ReOs.

Cell lengths 2.9940, 2.9940, 6.0206 Å; angles 90.00, 90.00, 90.00 degrees
Closest atoms and distances in Å follow each position.
Fractional coordinates of all 4 atoms:
Zn: 0.0000 0.0000 0.2441  4 Os 2.58, 4 Re 2.62
Zn: 0.0000 0.0000 0.7559  4 Os 2.58, 4 Re 2.62
Re: 0.5000 0.5000 0.5000  8 Zn 2.62
Os: 0.5000 0.5000 0.0000  8 Zn 2.58

space-group type = P4/mmm, No. 123
distance to the lowest polymorph of the same formula = 499 meV per atom
ΔE_f = 0.524 eV/atom
size of the total moment = 0.0 Bohr magnetons per cell
VASP energy = -6.6537 eV per atom



6.
## Zn2ReOs (PBEsol)

Data for a relaxed structure of Zn2ReOs.

Cell lengths 2.8491, 2.8491, 6.8425 Å; angles 90.00, 90.00, 90.00 degrees
Closest atoms and distances in Å follow each position.
Fractional coordinates of all 4 atoms:
Zn: 0.0000 0.0000 0.0000  8 Zn 2.61-2.85, 4 Re 2.70
Zn: 0.5000 0.5000 0.2425  8 Zn 2.61-2.85, 4 Os 2.67
Re: 0.5000 0.5000 0.7367  4 Os 2.59, 4 Zn 2.70, 4 Re 2.85
Os: 0.0000 0.0000 0.4983  4 Re 2.59, 4 Zn 2.67, 4 Os 2.85

space-group type = P4mm, No. 99
distance to the lowest polymorph of the same formula = 0 meV per atom
ΔE_f = 0.025 eV/atom
size of the total moment = 0.0 Bohr magnetons per cell
VASP energy = -7.1525 eV per atom



7.
## ZnRe2Os (PBEsol)

Data for a relaxed structure of ZnRe2Os.

Cell lengths 9.0035, 9.0035, 9.0035 Å; angles 17.42, 17.42, 17.42 degrees
Closest atoms and distances in Å follow each position.
Fractional coordinates of all 4 atoms:
Zn: 0.0000 0.0000 0.0000  6 Zn 2.73, 6 Re 2.75
Re: 0.2486 0.2486 0.2486  3 Os 2.69, 6 Re 2.73, 3 Zn 2.75
Re: 0.7514 0.7514 0.7514  3 Os 2.69, 6 Re 2.73, 3 Zn 2.75
Os: 0.5000 0.5000 0.5000  6 Re 2.69, 6 Os 2.73

space-group type = R-3m, No. 166
ΔE_f = 0.129 eV/atom
size of the total moment = 0.0 Bohr magnetons per cell
VASP energy = -9.9861 eV per atom



8.
## Zn2ReOs (PBEsol)

Data for a relaxed structure of Zn2ReOs.

Cell lengths 3.6990, 3.6990, 4.0997 Å; angles 90.00, 90.00, 90.00 degrees
Closest atoms and distances in Å follow each position.
Fractional coordinates of all 4 atoms:
Zn: 0.0000 0.5000 0.0000  4 Zn 2.62, 4 Re 2.76, 4 Os 2.76
Zn: 0.5000 0.0000 0.0000  4 Zn 2.62, 4 Re 2.76, 4 Os 2.76
Re: 0.0000 0.0000 0.5000  4 Os 2.62, 8 Zn 2.76
Os: 0.5000 0.5000 0.5000  4 Re 2.62, 8 Zn 2.76

space-group type = P4/mmm, No. 123
distance to the lowest polymorph of the same formula = 425 meV per atom
ΔE_f = 0.450 eV/atom
size of the total moment = 0.0 Bohr magnetons per cell
VASP energy = -6.7279 eV per atom



9.
## Zn2ReOs (PBEsol)

Data for a relaxed structure of Zn2ReOs.

Cell lengths 5.1333, 5.1333, 5.1333 Å; angles 147.77, 128.24, 62.30 degrees
Closest atoms and distances in Å follow each position.
Fractional coordinates of all 4 atoms:
Zn: 0.2468 0.2468 0.0000  2 Os 2.59, 2 Re 2.64, 6 Zn 2.66-2.85
Zn: 0.7532 0.7532 0.0000  2 Os 2.59, 2 Re 2.64, 6 Zn 2.66-2.85
Re: 0.5000 0.0000 0.5000  4 Zn 2.64, 4 Os 2.66, 2 Re 2.85
Os: 0.0000 0.5000 0.5000  4 Zn 2.59, 4 Re 2.66, 2 Os 2.85

space-group type = Immm, No. 71
distance to the lowest polymorph of the same formula = 276 meV per atom
ΔE_f = 0.302 eV/atom
size of the total moment = 0.0 Bohr magnetons per cell
VASP energy = -6.8763 eV per atom



10.
## ZrReOs2 (PBEsol)

Data for a relaxed structure of ZrReOs2.

Cell lengths 5.2217, 5.2217, 5.2217 Å; angles 144.85, 129.40, 63.10 degrees
Closest atoms and distances in Å follow each position.
Fractional coordinates of all 4 atoms:
Zr: 0.0000 0.0000 0.0000  2 Re 2.70, 6 Os 2.71-2.73
Re: 0.2462 0.7462 0.5000  6 Os 2.67-2.73, 2 Zr 2.70
Os: 0.4888 0.4888 0.0000  2 Re 2.67, 4 Zr 2.73, 2 Os 2.83
Os: 0.7523 0.2523 0.5000  2 Zr 2.71, 4 Re 2.73, 2 Os 2.83

space-group type = Imm2, No. 44
distance to the lowest polymorph of the same formula = 124 meV per atom
ΔE_f = 0.176 eV/atom
size of the total moment = 0.0 Bohr magnetons per cell
VASP energy = -11.5373 eV per atom



11.
## ZrReOs2 (PBEsol)

Data for a relaxed structure of ZrReOs2.

Cell lengths 2.8088, 3.8719, 5.8350 Å; angles 90.00, 90.00, 90.00 degrees
Closest atoms and distances in Å follow each position.
Fractional coordinates of all 4 atoms:
Zr: 0.0000 0.0000 0.0000  2 Zr 2.81, 6 Os 2.86-2.93, 4 Re 2.93
Re: 0.5000 0.5000 0.7087  5 Os 2.56-2.69, 2 Re 2.81
Os: 0.0000 0.0000 0.4970  4 Re 2.69, 6 Os 2.74-2.81, 2 Zr 2.90-2.93
Os: 0.5000 0.5000 0.2694  1 Re 2.56, 6 Os 2.74-2.81, 4 Zr 2.86

space-group type = Pmm2, No. 25
distance to the lowest polymorph of the same formula = 49 meV per atom
ΔE_f = 0.101 eV/atom
size of the total moment = 0.0 Bohr magnetons per cell
VASP energy = -11.6122 eV per atom



12.
## ZrRe2Os (PBEsol)

Data for a relaxed structure of ZrRe2Os.

Cell lengths 4.4634, 4.4634, 4.4634 Å; angles 60.00, 60.00, 60.00 degrees
Closest atoms and distances in Å follow each position.
Fractional coordinates of all 4 atoms:
Zr: 0.0000 0.0000 0.0000  4 Re 2.73, 4 Os 2.73
Re: 0.2500 0.2500 0.2500  4 Zr 2.73, 4 Re 2.73
Re: 0.5000 0.5000 0.5000  4 Re 2.73, 4 Os 2.73
Os: 0.7500 0.7500 0.7500  4 Zr 2.73, 4 Re 2.73

space-group type = F-43m, No. 216
distance to the lowest polymorph of the same formula = 0 meV per atom
ΔE_f = 0.093 eV/atom
size of the total moment = 0.0 Bohr magnetons per cell
VASP energy = -11.8997 eV per atom